[1]
{
  "formula": "Li3Cd3HgRh2",
  "functional": "GGA-PBE",
  "state": "relaxed",
  "lattice": [[7.706, 0.000, 0.000], [-3.853, 6.674, 0.000], [0.000, 0.000, 3.043]],
  "species": ["Li", "Li", "Li", "Cd", "Cd", "Cd", "Hg", "Rh", "Rh"],
  "frac_coords": [[0.000, 0.697, 0.000], [0.303, 0.303, 0.000], [0.697, 0.000, 0.000], [0.000, 0.393, 0.500], [0.393, 0.000, 0.500], [0.607, 0.607, 0.500], [0.000, 0.000, 0.500], [0.333, 0.667, 0.000], [0.667, 0.333, 0.000]],
  "space_group": "P-62m, No. 189",
  "formation_energy_mev_per_atom": -221
}

[2]
{
  "formula": "LiCdHg2Ru",
  "functional": "GGA-PBE",
  "state": "relaxed",
  "lattice": [[4.651, 0.000, 0.000], [0.000, 4.651, 0.000], [0.000, 0.000, 4.412]],
  "species": ["Li", "Cd", "Hg", "Hg", "Ru"],
  "frac_coords": [[0.000, 0.000, 0.000], [0.500, 0.500, 0.500], [0.000, 0.500, 0.000], [0.500, 0.000, 0.000], [0.000, 0.000, 0.500]],
  "space_group": "P4/mmm, No. 123",
  "formation_energy_mev_per_atom": 608
}

[3]
{
  "formula": "LiCdHgSb",
  "functional": "GGA-PBE",
  "state": "relaxed",
  "lattice": [[0.000, 3.596, 3.596], [3.596, 0.000, 3.596], [3.596, 3.596, 0.000]],
  "species": ["Li", "Cd", "Hg", "Sb"],
  "frac_coords": [[0.000, 0.000, 0.000], [0.500, 0.500, 0.500], [0.250, 0.250, 0.250], [0.750, 0.750, 0.750]],
  "space_group": "F-43m, No. 216",
  "raw_formation_energy_ev_per_atom": -0.1868
}

[4]
{
  "formula": "LiSmCd2Hg4",
  "functional": "GGA-PBE",
  "state": "relaxed",
  "lattice": [[2.483, 1.433, 8.536], [-2.483, 1.433, 8.536], [0.000, -2.867, 8.536]],
  "species": ["Li", "Sm", "Cd", "Cd", "Hg", "Hg", "Hg", "Hg"],
  "frac_coords": [[0.000, 0.000, 0.000], [0.500, 0.500, 0.500], [0.250, 0.250, 0.250], [0.750, 0.750, 0.750], [0.116, 0.116, 0.116], [0.368, 0.368, 0.368], [0.632, 0.632, 0.632], [0.884, 0.884, 0.884]],
  "space_group": "R-3m, No. 166",
  "formation_energy_mev_per_atom": -285
}

[5]
{
  "formula": "LiSmCdHg",
  "functional": "GGA-PBE",
  "state": "relaxed",
  "lattice": [[0.000, 3.610, 3.610], [3.610, 0.000, 3.610], [3.610, 3.610, 0.000]],
  "species": ["Li", "Sm", "Cd", "Hg"],
  "frac_coords": [[0.000, 0.000, 0.000], [0.500, 0.500, 0.500], [0.250, 0.250, 0.250], [0.750, 0.750, 0.750]],
  "space_group": "F-43m, No. 216",
  "formation_energy_mev_per_atom": -364
}

[6]
{
  "formula": "Li2SmCdHg2",
  "functional": "GGA-PBE",
  "state": "relaxed",
  "lattice": [[4.755, 0.000, 0.000], [-2.377, 4.118, 0.000], [0.000, 0.000, 6.688]],
  "species": ["Li", "Li", "Sm", "Cd", "Hg", "Hg"],
  "frac_coords": [[0.333, 0.667, 0.161], [0.667, 0.333, 0.839], [0.000, 0.000, 0.500], [0.000, 0.000, 0.000], [0.333, 0.667, 0.738], [0.667, 0.333, 0.262]],
  "space_group": "P-3m1, No. 164",
  "formation_energy_mev_per_atom": -371
}

| no. | size of the total moment (μB/f.u.) |
| --- | --- |
| 1 | 0.00 |
| 2 | 0.62 |
| 3 | 0.00 |
| 4 | 0.00 |
| 5 | 0.00 |
| 6 | 0.00 |